Below is a relaxed structure of NaHo2Tm3Se6, with properties calculated at the PBE level.

Output
The raw formation energy comes out at -1.698 eV per atom.

The structure in POSCAR format:
```
NaHo2Tm3Se6
1.0
-0.1708 -4.0014 -0.4619
7.9029 -0.5593 1.9233
-4.0029 1.2727 8.0485
Se Na Ho Tm
6 1 2 3
Direct
0.9988 0.7447 0.9976
0.6690 0.0814 0.3380
0.6638 0.5862 0.3277
0.3362 0.4138 0.6723
0.3310 0.9186 0.6620
0.0012 0.2553 0.0024
0.5000 0.0000 0.0000
0.8297 0.6561 0.6594
0.1703 0.3439 0.3406
0.1648 0.8256 0.3296
0.5000 0.5000 0.0000
0.8352 0.1744 0.6704
```


Below is a relaxed structure of Rb5C3, with properties calculated at the PBE level.

Output
For the energy relative to the elements, the calculation gives 159.8 kJ per mole of atoms.

The structure in POSCAR format:
```
Rb5C3
1.0
9.0756 0.0000 0.0000
-4.5378 7.8597 0.0000
0.0000 0.0000 7.7408
Rb C
10 6
Direct
0.0000 0.7275 0.7500
0.6667 0.3333 0.0000
0.7275 0.0000 0.7500
0.2725 0.2725 0.7500
0.2725 0.0000 0.2500
0.6667 0.3333 0.5000
0.0000 0.2725 0.2500
0.3333 0.6667 0.0000
0.7275 0.7275 0.2500
0.3333 0.6667 0.5000
0.6141 0.6141 0.7500
0.0000 0.3859 0.7500
0.6141 0.0000 0.2500
0.0000 0.6141 0.2500
0.3859 0.3859 0.2500
0.3859 0.0000 0.7500
```